ScPt: relaxed, PBEsol.

Computed properties:
Mass density in g/cm³: 11.5

Unit cell a=3.1523 b=3.2865 c=3.3361 alpha=90.00 beta=90.00 gamma=90.00
Sites, in units of the cell vectors:
Sc 0.0000 0.0000 0.0000
Pt 0.5000 0.5000 0.5000

***

ScPt2: relaxed, PBEsol.

Computed properties:
Mass density in g/cm³: 15.0

Unit cell a=4.9031 b=4.9031 c=5.5439 alpha=104.69 beta=104.69 gamma=48.76
Sites, in units of the cell vectors:
Sc 0.1471 0.1471 0.3055
Sc 0.8529 0.8529 0.6945
Pt 0.1751 0.1751 0.8183
Pt 0.5000 0.5000 0.0000
Pt 0.5000 0.5000 0.5000
Pt 0.8249 0.8249 0.1817

***

ScPt2: relaxed, PBEsol.

Computed properties:
Mass density in g/cm³: 15.0

Unit cell a=5.5566 b=4.0419 c=8.5590 alpha=90.00 beta=90.00 gamma=90.00
Sites, in units of the cell vectors:
Sc 0.1499 0.2500 0.1029
Sc 0.3501 0.7500 0.6029
Sc 0.6499 0.2500 0.3971
Sc 0.8501 0.7500 0.8971
Pt 0.1084 0.2500 0.7611
Pt 0.1373 0.2500 0.4241
Pt 0.3627 0.7500 0.9241
Pt 0.3916 0.7500 0.2611
Pt 0.6084 0.2500 0.7389
Pt 0.6373 0.2500 0.0759
Pt 0.8627 0.7500 0.5759
Pt 0.8916 0.7500 0.2389

***

ΔH_f (0 K) values (in kcal/mol of atoms) by entry order: -27.57, -25.36, -25.44.
DOS(E_F) values (in states/eV per cell) by entry order: 1.38, 2.85, 4.29.